! Ac3Mn2CoO9 | Alexandria | GGA+U | optimized geometry; values from VASP
! - M_tot (μB/cell) = 8.000
! - calculated density (Mg/m³) = 8.9
! - DOS at the Fermi energy (states/eV per cell) = 1.01
! - SG = P-3m1
! - DFT total energy (eV/atom) = -7.57
&SYSTEM
  ibrav = 0, nat = 15, ntyp = 4
/
ATOMIC_SPECIES
O 16.00 O.upf
Mn 54.94 Mn.upf
Ac 227.00 Ac.upf
Co 58.93 Co.upf
CELL_PARAMETERS angstrom
-0.499 0.204 -5.573
3.967 -3.183 2.341
-4.367 -5.296 0.198
ATOMIC_POSITIONS crystal
O 0.165 0.835 0.336
O 0.835 0.671 0.664
Mn 0.667 0.333 0.832
Ac 0.667 0.333 0.342
O 0.329 0.165 0.664
O 0.500 0.500 0.000
Mn 0.333 0.667 0.168
O 0.000 0.500 0.000
Ac 0.333 0.667 0.658
Ac 0.000 0.000 0.000
O 0.500 0.000 0.000
O 0.671 0.835 0.336
O 0.165 0.329 0.336
O 0.835 0.165 0.664
Co 0.000 0.000 0.500